[1]
## BaZnIn2 (GGA-PBE)

Data for crystalline BaZnIn2 at its relaxed geometry.

Unit cell a=5.468 b=5.468 c=5.468 alpha=120.02 beta=119.53 gamma=90.40
Fractional coordinates of all 4 atoms:
Ba 0.250 0.750 0.500
In 0.998 0.998 0.000
In 0.749 0.249 0.500
Zn 0.502 0.502 0.000

SG: Imm2, No. 44
M_tot in μB per cell: 0.00
Calculated total energy in eV per atom: -2.3727
Crystal system: orthorhombic


[2]
## BaZnIn (GGA-PBE)

Data for crystalline BaZnIn at its relaxed geometry.

Unit cell a=5.222 b=5.222 c=5.222 alpha=60.00 beta=60.00 gamma=60.00
Fractional coordinates of all 3 atoms:
Ba 0.000 0.000 0.000
In 0.500 0.500 0.500
Zn 0.750 0.750 0.750

SG: F-43m, No. 216
M_tot in μB per cell: 0.00
Calculated total energy in eV per atom: -2.1480
Crystal system: cubic


[3]
## Ba3Zn2In3 (GGA-PBE)

Data for crystalline Ba3Zn2In3 at its relaxed geometry.

Unit cell a=4.658 b=6.806 c=17.881 alpha=90.00 beta=90.00 gamma=110.01
Fractional coordinates of all 16 atoms:
Ba 0.956 0.911 0.395
Ba 0.044 0.089 0.895
Ba 0.956 0.911 0.105
Ba 0.044 0.089 0.605
Ba 0.662 0.324 0.250
Ba 0.338 0.676 0.750
Zn 0.752 0.503 0.887
Zn 0.248 0.497 0.387
Zn 0.752 0.503 0.613
Zn 0.248 0.497 0.113
In 0.672 0.345 0.465
In 0.328 0.655 0.965
In 0.672 0.345 0.035
In 0.328 0.655 0.535
In 0.372 0.743 0.250
In 0.628 0.257 0.750

Polymorph energy (0 for the lowest one) in meV per atom: 0
SG: Cmcm, No. 63
M_tot in μB per cell: 0.00
Crystal system: orthorhombic